# 1
Here is a relaxed V4Re2W5 crystal from the Alexandria database. Energies are from PBE.

Values from the calculation:
polymorph energy (0 for the lowest one) = 447.1 meV per atom
crystal system = monoclinic
energy of formation from the pure elements = 0.44 eV per atom
calculated density = 14.287 g/cm³

Unit cell a=18.9585 b=2.7997 c=6.9465 alpha=90.00 beta=109.47 gamma=90.00
Closest atoms and distances in Å follow each position.
Space group C2/m (No. 12)
Asymmetric unit:
V (0.0442, 0.0000, 0.4094)  1 V 2.41, 2 W 2.47-2.58
V (0.1942, 0.5000, 0.5488)  2 Re 2.52, 2 W 2.69, 4 V 2.80
Re (0.2375, 0.5000, 0.1450)  2 V 2.52, 4 Re 2.62-2.80, 2 W 2.64
W (0.0000, 0.5000, 0.0000)  6 W 2.76-2.80, 4 V 3.03
W (0.1072, 0.0000, 0.8011)  2 V 2.58-2.75, 3 W 2.70-2.80, 1 Re 2.84
W (0.1285, 0.0000, 0.2046)  3 V 2.47-2.69, 2 Re 2.64, 3 W 2.70-2.76

# 2
Here is a relaxed Li2Ag8Sn crystal from the Alexandria database. Energies are from PBE.

Values from the calculation:
polymorph energy (0 for the lowest one) = 48.3 meV per atom
crystal system = monoclinic
energy of formation from the pure elements = 0.00 eV per atom
calculated density = 8.175 g/cm³

Unit cell a=7.5287 b=12.2930 c=4.8948 alpha=90.00 beta=116.78 gamma=90.00
Closest atoms and distances in Å follow each position.
Space group C2/m (No. 12)
Asymmetric unit:
Li (0.0000, 0.1890, 0.0000)  8 Ag 2.63-2.75
Ag (0.0000, 0.2736, 0.5000)  2 Li 2.66, 1 Sn 2.78, 2 Ag 2.86
Ag (0.0937, 0.0000, 0.3154)  2 Li 2.70, 6 Ag 2.75-2.98, 1 Sn 2.77
Ag (0.2106, 0.3804, 0.1149)  2 Li 2.63-2.75, 3 Ag 2.85-2.90
Sn (0.0000, 0.5000, 0.5000)  8 Ag 2.77-3.07

# 3
Here is a relaxed Ce5GeBi2O crystal from the Alexandria database. Energies are from PBE.

Values from the calculation:
crystal system = tetragonal
formation energy without anion corrections = -1.069 eV/atom
calculated density = 7.916 g/cm³

Unit cell a=4.6500 b=4.6500 c=11.7121 alpha=90.00 beta=90.00 gamma=90.00
Closest atoms and distances in Å follow each position.
Space group P4/mmm (No. 123)
Asymmetric unit:
Ce (0.0000, 0.0000, 0.0000)  4 Ge 3.29, 2 Bi 3.37
Ce (0.0000, 0.5000, 0.5000)  2 O 2.32
Ce (0.5000, 0.5000, 0.2493)  1 Ge 2.92, 1 O 2.94
Ge (0.5000, 0.5000, 0.0000)  2 Ce 2.92
Bi (0.0000, 0.0000, 0.2876)  9 Ce 3.32-3.40
O (0.5000, 0.5000, 0.5000)  4 Ce 2.32

N(E_F) for every record listed, in sequence, given in states/eV per atom: 0.938 0.256 3.346.